28
Lattice="9.9329 0.0000 0.0000 0.0000 9.9329 0.0000 0.0000 0.0000 9.9329" Properties=species:S:1:pos:R:3 comment="Ba3SrAs3 (PBE-GGA, optimized geometry)" density_g_cm3=4.9 ef_ev_per_atom=-1.053 crystal_system=cubic dft_energy_ev_per_cell=-115.08 dos_ef_per_ev_fu=9.01 pbc="T T T"
Ba 0.6764 4.2900 5.6428
Ba 1.7976 1.7976 1.7976
Ba 1.8027 8.1302 3.1637
Ba 3.1637 1.8027 8.1302
Ba 3.1688 8.1352 6.7641
Ba 4.2900 5.6428 0.6764
Ba 5.6428 0.6764 4.2900
Ba 6.7641 3.1688 8.1352
Ba 6.7691 6.7691 6.7691
Ba 8.1302 3.1637 1.8027
Ba 8.1352 6.7641 3.1688
Ba 9.2565 9.2565 9.2565
Sr 0.6608 5.6272 9.2721
Sr 4.3057 4.3057 4.3057
Sr 5.6272 9.2721 0.6608
Sr 9.2721 0.6608 5.6272
As 9.9311 2.5382 8.6433
As 0.0018 7.5047 6.2560
As 1.2896 4.9647 2.4282
As 2.4282 1.2896 4.9647
As 2.5382 8.6433 9.9311
As 3.6768 4.9682 7.3946
As 4.9647 2.4282 1.2896
As 4.9682 7.3946 3.6768
As 6.2560 0.0018 7.5047
As 7.3946 3.6768 4.9682
As 7.5047 6.2560 0.0018
As 8.6433 9.9311 2.5382